No. 1
# Ce2Zn3Pt2, relaxed, DFT GGA-PBE
data_Ce2Zn3Pt2
_space_group_name_H-M_alt 'C 1 2/m 1'
_space_group_IT_number 12
_cell_length_a 9.856
_cell_length_b 4.316
_cell_length_c 6.972
_cell_angle_alpha 90.00
_cell_angle_beta 110.43
_cell_angle_gamma 90.00
loop_
_space_group_symop_operation_xyz
'x,y,z'
'-x,-y,-z'
'-x,y,-z'
'x,-y,z'
'x+1/2,y+1/2,z'
'-x+1/2,-y+1/2,-z'
'-x+1/2,y+1/2,-z'
'x+1/2,-y+1/2,z'
loop_
_atom_site_label
_atom_site_fract_x
_atom_site_fract_y
_atom_site_fract_z
Ce1 0.143 0.000 0.271
Zn1 0.000 0.500 0.500
Zn2 0.119 0.500 0.933
Pt1 0.150 0.000 0.711
# DOS at the Fermi energy: 1.485 states/eV/atom
# Magnetic moment: 2.09 μB/cell
# Crystal system: monoclinic
# Energy: -4.687 eV/atom
# Energy of formation from the pure elements: -720 meV/atom

No. 2
# Rb12H5S3, relaxed, DFT GGA-PBE
data_Rb12H5S3
_space_group_name_H-M_alt 'I a -3 d'
_space_group_IT_number 230
_space_group_name_Hall '-I 4bd 2c 3'
_cell_length_a 18.146
_cell_length_b 18.146
_cell_length_c 18.146
_cell_angle_alpha 90.00
_cell_angle_beta 90.00
_cell_angle_gamma 90.00
loop_
_atom_site_label
_atom_site_fract_x
_atom_site_fract_y
_atom_site_fract_z
Rb1 0.023 0.062 0.655
H1 0.000 0.000 0.000
H2 0.000 0.250 0.375
S1 0.000 0.250 0.125
# DOS at the Fermi energy: 0.385 states/eV/atom
# Magnetic moment: 6.96 μB/cell
# Crystal system: cubic
# Energy: -2.488 eV/atom

No. 3
# YGe2Os2, relaxed, DFT GGA-PBE
data_YGe2Os2
_space_group_name_H-M_alt 'P -1'
_space_group_IT_number 2
_cell_length_a 5.429
_cell_length_b 5.792
_cell_length_c 7.004
_cell_angle_alpha 72.83
_cell_angle_beta 69.98
_cell_angle_gamma 63.73
loop_
_space_group_symop_operation_xyz
'x,y,z'
'-x,-y,-z'
loop_
_atom_site_label
_atom_site_fract_x
_atom_site_fract_y
_atom_site_fract_z
Y1 0.180 0.237 0.183
Ge1 0.253 0.769 0.975
Ge2 0.354 0.845 0.540
Os1 0.164 0.213 0.726
Os2 0.480 0.593 0.267
# DOS at the Fermi energy: 0.619 states/eV/atom
# Magnetic moment: 0.00 μB/cell
# Crystal system: triclinic
# Energy: -7.749 eV/atom
# Energy of formation from the pure elements: -118 meV/atom

No. 4
# RbGd2Tm, relaxed, DFT GGA-PBE
data_RbGd2Tm
_space_group_name_H-M_alt 'R -3 m'
_space_group_IT_number 166
_space_group_name_Hall '-R 3 2"'
_cell_length_a 3.6237
_cell_length_b 3.6237
_cell_length_c 39.8943
_cell_angle_alpha 90.00
_cell_angle_beta 90.00
_cell_angle_gamma 120.00
loop_
_atom_site_label
_atom_site_fract_x
_atom_site_fract_y
_atom_site_fract_z
Rb1 0.0000 0.0000 0.0000
Gd1 0.0000 0.0000 0.0972
Tm1 0.0000 0.0000 0.5000
# DOS at the Fermi energy: 1.445 states/eV/atom
# Magnetic moment: 44.89 μB/cell
# Crystal system: trigonal
# Energy: -8.122 eV/atom
# Energy of formation from the pure elements: 278 meV/atom

No. 5
# CeHgI6, relaxed, DFT GGA-PBE
data_CeHgI6
_space_group_name_H-M_alt 'C 1 2/m 1'
_space_group_IT_number 12
_cell_length_a 9.155
_cell_length_b 13.146
_cell_length_c 7.317
_cell_angle_alpha 90.00
_cell_angle_beta 103.40
_cell_angle_gamma 90.00
loop_
_space_group_symop_operation_xyz
'x,y,z'
'-x,-y,-z'
'-x,y,-z'
'x,-y,z'
'x+1/2,y+1/2,z'
'-x+1/2,-y+1/2,-z'
'-x+1/2,y+1/2,-z'
'x+1/2,-y+1/2,z'
loop_
_atom_site_label
_atom_site_fract_x
_atom_site_fract_y
_atom_site_fract_z
Ce1 0.000 0.000 0.000
Hg1 0.000 0.000 0.500
I1 0.136 0.161 0.789
I2 0.224 0.500 0.678
# ΔE_f (raw): -779 meV per atom
# Magnetic moment: 0.00 μB/cell
# Crystal system: monoclinic
# Energy: -2.722 eV/atom
# Energy above the lowest structure with this stoichiometry: 0 meV/atom

No. 6
# Cu2AgMo, relaxed, DFT GGA-PBE
data_Cu2AgMo
_space_group_name_H-M_alt 'R 3 m'
_space_group_IT_number 160
_space_group_name_Hall 'R 3 -2"'
_cell_length_a 2.7494
_cell_length_b 2.7494
_cell_length_c 26.8239
_cell_angle_alpha 90.00
_cell_angle_beta 90.00
_cell_angle_gamma 120.00
loop_
_atom_site_label
_atom_site_fract_x
_atom_site_fract_y
_atom_site_fract_z
Cu1 0.0000 0.0000 0.0000
Cu2 0.0000 0.0000 0.2590
Ag1 0.0000 0.0000 0.7509
Mo1 0.0000 0.0000 0.5106
# DOS at the Fermi energy: 1.024 states/eV/atom
# Magnetic moment: 0.00 μB/cell
# Crystal system: trigonal
# Energy: -5.147 eV/atom
# Energy of formation from the pure elements: 322 meV/atom
# Energy above the lowest structure with this stoichiometry: 119 meV/atom